1.
A relaxed CuPdPt2 crystal. Source: the Open Quantum Materials Database, functional PBE.

Unit cell a=4.3866 b=4.3866 c=4.3866 alpha=60.00 beta=60.00 gamma=60.00
Last column: nearest neighbours and their distance in Å.
Fractional coordinates of all 4 atoms:
1 Cu 0.0000 0.0000 0.0000  4 Pt 2.69, 4 Pd 2.69
2 Pd 0.7500 0.7500 0.7500  4 Cu 2.69, 4 Pt 2.69
3 Pt 0.2500 0.2500 0.2500  4 Cu 2.69, 4 Pt 2.69
4 Pt 0.5000 0.5000 0.5000  4 Pd 2.69, 4 Pt 2.69

Results
calculated formation energy	0.006	eV per atom
M_tot	0.014	μB/cell

2.
A relaxed SmCu2Pd2Pt crystal. Source: the Open Quantum Materials Database, functional PBE.

Unit cell a=5.2615 b=5.2615 c=4.4021 alpha=90.00 beta=90.00 gamma=122.83
Last column: nearest neighbours and their distance in Å.
Fractional coordinates of all 6 atoms:
1 Sm 0.0000 0.0000 0.0000  6 Pd 2.99-3.02
2 Cu 0.0000 0.5000 0.5000  2 Cu 2.52, 2 Pt 2.63, 4 Pd 2.63
3 Cu 0.5000 0.0000 0.5000  2 Cu 2.52, 2 Pt 2.63, 4 Pd 2.63
4 Pd 0.3263 0.6737 0.0000  4 Cu 2.63, 2 Pt 2.72, 2 Pd 2.89
5 Pd 0.6737 0.3263 0.0000  4 Cu 2.63, 2 Pt 2.72, 2 Pd 2.89
6 Pt 0.5000 0.5000 0.5000  4 Cu 2.63, 4 Pd 2.72

Results
calculated formation energy	-0.577	eV per atom
M_tot	0.002	μB/cell